Record 1
Li2ErGaAu4: relaxed, GGA-PBE.

abc: 4.5568 4.5568 24.1894
angles: 90.00 90.00 120.00
Space group R-3m (No. 166, hexagonal axes)
Asymmetric unit:
Li: 0.0000 0.0000 0.2431 (multiplicity 6)
Er: 0.0000 0.0000 0.0000 (multiplicity 3)
Ga: 0.0000 0.0000 0.5000 (multiplicity 3)
Au: 0.0000 0.0000 0.1267 (multiplicity 6)
Au: 0.0000 0.0000 0.3906 (multiplicity 6)

Properties
The total DFT energy (no corrections) comes out at -3.64 eV per atom. As for the formation enthalpy at 0 K: -0.57 eV per atom.

---

Record 2
Li2ErGa2Au2: relaxed, GGA-PBE.

abc: 7.869 4.528 7.555
angles: 90.00 109.50 90.00
Space group C2/m (No. 12)
Asymmetric unit:
Li: 0.140 0.000 0.425 (multiplicity 4)
Er: 0.000 0.000 0.000 (multiplicity 2)
Ga: 0.079 0.500 0.733 (multiplicity 4)
Au: 0.236 0.500 0.213 (multiplicity 4)

Properties
The total DFT energy (no corrections) comes out at -3.61 eV per atom. As for the formation enthalpy at 0 K: -0.61 eV per atom.

---

Record 3
LiErGaAu: relaxed, GGA-PBE.

abc: 6.632 6.632 6.632
angles: 90.00 90.00 90.00
Space group F-43m (No. 216)
Asymmetric unit:
Li: 0.000 0.000 0.000 (multiplicity 4)
Er: 0.250 0.250 0.250 (multiplicity 4)
Ga: 0.250 0.250 0.750 (multiplicity 4)
Au: 0.000 0.000 0.500 (multiplicity 4)

Properties
The polymorph energy (0 for the lowest one) is 0.000 eV per atom. The total DFT energy (no corrections) comes out at -3.81 eV per atom. As for the formation enthalpy at 0 K: -0.62 eV per atom.

---

Record 4
ErLuGaAu: relaxed, GGA-PBE.

abc: 7.100 7.100 7.100
angles: 90.00 90.00 90.00
Space group F-43m (No. 216)
Asymmetric unit:
Er: 0.000 0.000 0.000 (multiplicity 4)
Lu: 0.000 0.000 0.500 (multiplicity 4)
Ga: 0.250 0.250 0.250 (multiplicity 4)
Au: 0.250 0.250 0.750 (multiplicity 4)

Properties
The total DFT energy (no corrections) comes out at -4.56 eV per atom. As for the formation enthalpy at 0 K: -0.71 eV per atom.